MnCdMo2O8 (PBE+U, relaxed); total magnetization = 0.414 μB/atom; SG = I-4 (82); electronic total energy = -6.726 eV per atom
1.0
5.180 0.000 0.000
0.000 5.180 0.000
-2.590 -2.590 5.627
O Mo Cd Mn
8 2 1 1
direct
0.163 0.567 0.823
0.331 0.913 0.331
0.582 0.669 0.669
0.660 0.256 0.823
0.087 0.000 0.669
0.744 0.837 0.177
0.433 0.340 0.177
0.000 0.418 0.331
0.250 0.750 0.500
0.500 0.500 0.000
0.000 0.000 0.000
0.750 0.250 0.500